[1]
Density functional theory data (PBE-GGA) for a relaxed structure of La8TcRu3Cl4.

Cell: 8.9865 8.9865 8.9865 Å, 55.21 55.21 55.21°
Closest atoms and distances in Å follow each position.
Atoms (fractional coordinates):
1 La 0.2335 0.2335 0.2335  3 Ru 2.85
2 La 0.2375 0.7335 0.7335  1 Tc 2.85, 2 Ru 2.87
3 La 0.2665 0.2665 0.7625  1 Tc 2.85, 2 Ru 2.87
4 La 0.2665 0.7625 0.2665  1 Tc 2.85, 2 Ru 2.87
5 La 0.7335 0.2375 0.7335  1 Tc 2.85, 2 Ru 2.87
6 La 0.7335 0.7335 0.2375  1 Tc 2.85, 2 Ru 2.87
7 La 0.7625 0.2665 0.2665  1 Tc 2.85, 2 Ru 2.87
8 La 0.7665 0.7665 0.7665  3 Ru 2.85
9 Tc 0.5000 0.5000 0.5000  6 La 2.85
10 Ru 0.0000 0.0000 0.5000  6 La 2.85-2.87
11 Ru 0.0000 0.5000 0.0000  6 La 2.85-2.87
12 Ru 0.5000 0.0000 0.0000  6 La 2.85-2.87
13 Cl 0.0000 0.0000 0.0000  6 La 3.30
14 Cl 0.0000 0.5000 0.5000  6 La 3.28-3.31
15 Cl 0.5000 0.0000 0.5000  6 La 3.28-3.31
16 Cl 0.5000 0.5000 0.0000  6 La 3.28-3.31

Calculated values
As for the calculated density: 6.02 Mg/m³. For the total energy, the calculation gives -6.2280 eV per atom.



[2]
Density functional theory data (PBE-GGA) for a relaxed structure of LiYHf.

Cell: 5.2225 3.3742 8.3521 Å, 90.00 101.72 90.00°
Closest atoms and distances in Å follow each position.
Atoms (fractional coordinates):
1 Li 0.0000 0.0000 0.0000  2 Hf 2.94, 6 Y 3.10-3.21
2 Li 0.3894 0.0000 0.6314  1 Hf 2.87, 4 Y 3.08-3.17
3 Y 0.4995 0.5000 0.0070  4 Li 3.10-3.12, 2 Hf 3.26, 2 Y 3.37
4 Y 0.9117 0.5000 0.6668  6 Li 3.08-3.21, 3 Hf 3.26-3.44, 2 Y 3.37
5 Hf 0.0937 0.5000 0.2938  2 Li 2.94, 4 Hf 3.10-3.18
6 Hf 0.6207 0.0000 0.3473  1 Li 2.87, 4 Hf 3.10-3.18

Calculated values
As for the calculated density: 6.32 Mg/m³. The calculation puts the energy relative to the lowest polymorph listed for this composition at 11.5 kJ/mol of atoms. The formation energy from the elements comes out at 0.218 eV per atom. For the total energy, the calculation gives -5.8921 eV per atom.



[3]
Density functional theory data (PBE-GGA) for a relaxed structure of ZnSnAu6.

Cell: 5.1849 5.1928 6.5745 Å, 68.64 68.66 89.92°
Closest atoms and distances in Å follow each position.
Atoms (fractional coordinates):
1 Zn 0.0000 0.0000 0.0000  6 Au 2.71
2 Sn 0.5000 0.5000 0.0000  10 Au 2.95-2.97
3 Au 0.1130 0.6683 0.7515  1 Zn 2.71, 5 Au 2.84-2.99, 2 Sn 2.95-2.97
4 Au 0.2720 0.2735 0.5250  1 Zn 2.71, 6 Au 2.90-2.99, 1 Sn 2.96
5 Au 0.3332 0.8879 0.2484  1 Zn 2.71, 5 Au 2.84-2.99, 2 Sn 2.95-2.97
6 Au 0.6668 0.1121 0.7516  1 Zn 2.71, 5 Au 2.84-2.99, 2 Sn 2.95-2.97
7 Au 0.7280 0.7265 0.4750  1 Zn 2.71, 6 Au 2.90-2.99, 1 Sn 2.96
8 Au 0.8870 0.3317 0.2485  1 Zn 2.71, 5 Au 2.84-2.99, 2 Sn 2.95-2.97

Calculated values
As for the calculated density: 14.94 Mg/m³. The calculation puts the energy relative to the lowest polymorph listed for this composition at 0.0 kJ/mol of atoms. The formation energy from the elements comes out at -0.063 eV per atom. For the total energy, the calculation gives -3.1808 eV per atom.



[4]
Density functional theory data (PBE-GGA) for a relaxed structure of CeMgTl3.

Cell: 14.9332 14.9332 5.4664 Å, 90.02 90.02 13.32°
Closest atoms and distances in Å follow each position.
Atoms (fractional coordinates):
1 Ce 0.0709 0.0709 0.2495  8 Tl 3.43-3.46, 2 Ce 3.46, 4 Mg 3.67
2 Ce 0.9291 0.9291 0.7505  8 Tl 3.43-3.46, 2 Ce 3.46, 4 Mg 3.67
3 Mg 0.3707 0.3707 0.2504  5 Tl 2.94-3.22
4 Mg 0.6293 0.6293 0.7496  5 Tl 2.94-3.22
5 Tl 0.2208 0.2208 0.7498  2 Mg 3.22, 7 Tl 3.22-3.56
6 Tl 0.3294 0.3294 0.7503  2 Mg 2.99, 1 Tl 3.22
7 Tl 0.4698 0.4698 0.2503  1 Mg 2.94, 2 Tl 3.26-3.27
8 Tl 0.5302 0.5302 0.7497  1 Mg 2.94, 2 Tl 3.26-3.27
9 Tl 0.6706 0.6706 0.2497  2 Mg 2.99, 1 Tl 3.22
10 Tl 0.7792 0.7792 0.2502  2 Mg 3.22, 7 Tl 3.22-3.56

Calculated values
As for the calculated density: 9.20 Mg/m³. The formation energy from the elements comes out at -0.075 eV per atom. For the total energy, the calculation gives -3.0008 eV per atom.



[5]
Density functional theory data (PBE-GGA) for a relaxed structure of BeTe2.

Cell: 6.7998 6.7998 5.2674 Å, 90.00 90.00 120.00°
Closest atoms and distances in Å follow each position.
Atoms (fractional coordinates):
1 Be 0.0000 0.0000 0.0000  6 Te 2.65
2 Be 0.3333 0.6667 0.5000  6 Te 2.62
3 Be 0.6667 0.3333 0.5000  6 Te 2.62
4 Te 0.0000 0.3428 0.2401  3 Be 2.62-2.65
5 Te 0.0000 0.6572 0.7599  3 Be 2.62-2.65
6 Te 0.3428 0.0000 0.2401  3 Be 2.62-2.65
7 Te 0.3428 0.3428 0.7599  3 Be 2.62-2.65
8 Te 0.6572 0.0000 0.7599  3 Be 2.62-2.65
9 Te 0.6572 0.6572 0.2401  3 Be 2.62-2.65

Calculated values
As for the calculated density: 6.24 Mg/m³. The calculation puts the energy relative to the lowest polymorph listed for this composition at 26.1 kJ/mol of atoms. For the total energy, the calculation gives -3.2105 eV per atom.



[6]
Density functional theory data (PBE-GGA) for a relaxed structure of Al3CrS6.

Cell: 6.6659 6.6659 6.6659 Å, 53.82 53.82 53.82°
Closest atoms and distances in Å follow each position.
Atoms (fractional coordinates):
1 Al 0.0000 0.0000 0.0000  6 S 2.39-2.45
2 Al 0.1780 0.1780 0.1780  6 S 2.43-2.44
3 Al 0.6804 0.6804 0.6804  6 S 2.40-2.43
4 Cr 0.3552 0.3552 0.3552  6 S 2.40-2.43
5 S 0.0812 0.4108 0.7771  1 Cr 2.40, 3 Al 2.40-2.45
6 S 0.2778 0.9450 0.5784  3 Al 2.39-2.44, 1 Cr 2.43
7 S 0.4108 0.7771 0.0812  1 Cr 2.40, 3 Al 2.40-2.45
8 S 0.5784 0.2778 0.9450  3 Al 2.39-2.44, 1 Cr 2.43
9 S 0.7771 0.0812 0.4108  1 Cr 2.40, 3 Al 2.40-2.45
10 S 0.9450 0.5784 0.2778  3 Al 2.39-2.44, 1 Cr 2.43

Calculated values
As for the calculated density: 3.01 Mg/m³. The calculation puts the energy relative to the lowest polymorph listed for this composition at 0.0 kJ/mol of atoms. For the total energy, the calculation gives -5.5052 eV per atom.



[7]
Density functional theory data (PBE-GGA) for a relaxed structure of MgBe.

Cell: 4.9467 4.9467 7.2910 Å, 109.49 109.49 32.35°
Closest atoms and distances in Å follow each position.
Atoms (fractional coordinates):
1 Mg 0.0000 0.0000 0.0000  5 Be 2.61-2.76, 3 Mg 2.76-2.86
2 Mg 0.3165 0.3165 0.2120  8 Mg 2.76-3.04, 4 Be 3.05-3.07
3 Mg 0.6332 0.6332 0.4250  5 Be 2.60-2.78, 3 Mg 2.76-2.87
4 Be 0.3163 0.3163 0.7123  4 Be 2.30
5 Be 0.6664 0.6664 0.8189  4 Be 2.30-2.41
6 Be 0.9675 0.9675 0.6083  4 Be 2.30-2.41

Calculated values
As for the calculated density: 1.85 Mg/m³. The calculation puts the energy relative to the lowest polymorph listed for this composition at 13.9 kJ/mol of atoms. The formation energy from the elements comes out at 0.356 eV per atom. For the total energy, the calculation gives -2.3042 eV per atom.



[8]
Density functional theory data (PBE-GGA) for a relaxed structure of DyEr2Sn.

Cell: 11.8709 11.8709 11.8709 Å, 16.73 16.73 16.73°
Closest atoms and distances in Å follow each position.
Atoms (fractional coordinates):
1 Dy 0.0000 0.0000 0.0000  2 Er 3.34, 6 Dy 3.45
2 Er 0.0950 0.0950 0.0950  3 Sn 3.21, 1 Dy 3.34, 6 Er 3.45
3 Er 0.9050 0.9050 0.9050  3 Sn 3.21, 1 Dy 3.34, 6 Er 3.45
4 Sn 0.5000 0.5000 0.5000  6 Er 3.21, 6 Sn 3.45

Calculated values
As for the calculated density: 8.46 Mg/m³. The calculation puts the energy relative to the lowest polymorph listed for this composition at 41.5 kJ/mol of atoms. The formation energy from the elements comes out at 0.024 eV per atom. For the total energy, the calculation gives -4.4085 eV per atom.



[9]
Density functional theory data (PBE-GGA) for a relaxed structure of Ti5CN4.

Cell: 7.9960 7.9960 7.9960 Å, 158.26 149.08 38.12°
Closest atoms and distances in Å follow each position.
Atoms (fractional coordinates):
1 Ti 0.0000 0.0000 0.0000  2 C 2.13, 4 N 2.14
2 Ti 0.1996 0.1996 0.0000  6 N 2.12-2.13
3 Ti 0.4009 0.4009 0.0000  2 C 2.13, 4 N 2.13-2.16
4 Ti 0.5991 0.5991 0.0000  2 C 2.13, 4 N 2.13-2.16
5 Ti 0.8004 0.8004 0.0000  6 N 2.12-2.13
6 C 0.5000 0.0000 0.5000  6 Ti 2.13
7 N 0.1007 0.6007 0.5000  6 Ti 2.12-2.14
8 N 0.2988 0.7988 0.5000  6 Ti 2.13-2.16
9 N 0.7012 0.2012 0.5000  6 Ti 2.13-2.16
10 N 0.8993 0.3993 0.5000  6 Ti 2.12-2.14

Calculated values
As for the calculated density: 5.25 Mg/m³. The calculation puts the energy relative to the lowest polymorph listed for this composition at 0.0 kJ/mol of atoms. For the total energy, the calculation gives -9.7613 eV per atom.



[10]
Density functional theory data (PBE-GGA) for a relaxed structure of MnTl2W2.

Cell: 7.9459 7.9459 3.1094 Å, 90.00 90.00 90.00°
Closest atoms and distances in Å follow each position.
Atoms (fractional coordinates):
1 Mn 0.0000 0.0000 0.0000  4 Tl 2.90, 2 Mn 3.11
2 Mn 0.5000 0.5000 0.0000  4 Tl 2.90, 2 Mn 3.11
3 Tl 0.1852 0.3148 0.0000  6 W 2.78-2.87, 2 Mn 2.90, 2 Tl 3.11
4 Tl 0.3148 0.8148 0.0000  6 W 2.78-2.87, 2 Mn 2.90, 2 Tl 3.11
5 Tl 0.6852 0.1852 0.0000  6 W 2.78-2.87, 2 Mn 2.90, 2 Tl 3.11
6 Tl 0.8148 0.6852 0.0000  6 W 2.78-2.87, 2 Mn 2.90, 2 Tl 3.11
7 W 0.1096 0.6096 0.5000  1 W 2.46
8 W 0.3904 0.1096 0.5000  1 W 2.46
9 W 0.6096 0.8904 0.5000  1 W 2.46
10 W 0.8904 0.3904 0.5000  1 W 2.46

Calculated values
As for the calculated density: 14.06 Mg/m³. The calculation puts the energy relative to the lowest polymorph listed for this composition at 43.7 kJ/mol of atoms. The formation energy from the elements comes out at 1.509 eV per atom. For the total energy, the calculation gives -6.4523 eV per atom.



[11]
Density functional theory data (PBE-GGA) for a relaxed structure of LaY14Sc.

Cell: 7.1304 7.1304 10.0556 Å, 90.00 90.00 90.00°
Closest atoms and distances in Å follow each position.
Atoms (fractional coordinates):
1 La 0.0000 0.0000 0.0000  12 Y 3.57
2 Y 0.0000 0.0000 0.5000  12 Y 3.57-3.59
3 Y 0.0000 0.5000 0.0000  8 Y 3.55, 2 La 3.57, 2 Sc 3.57
4 Y 0.0000 0.5000 0.5000  12 Y 3.57
5 Y 0.2527 0.2527 0.2484  10 Y 3.53-3.60, 1 Sc 3.53, 1 La 3.57
6 Y 0.2527 0.2527 0.7516  10 Y 3.53-3.60, 1 Sc 3.53, 1 La 3.57
7 Y 0.2527 0.7473 0.2484  10 Y 3.53-3.60, 1 Sc 3.53, 1 La 3.57
8 Y 0.2527 0.7473 0.7516  10 Y 3.53-3.60, 1 Sc 3.53, 1 La 3.57
9 Y 0.5000 0.0000 0.0000  8 Y 3.55, 2 La 3.57, 2 Sc 3.57
10 Y 0.5000 0.0000 0.5000  12 Y 3.57
11 Y 0.5000 0.5000 0.5000  12 Y 3.55-3.57
12 Y 0.7473 0.2527 0.2484  10 Y 3.53-3.60, 1 Sc 3.53, 1 La 3.57
13 Y 0.7473 0.2527 0.7516  10 Y 3.53-3.60, 1 Sc 3.53, 1 La 3.57
14 Y 0.7473 0.7473 0.2484  10 Y 3.53-3.60, 1 Sc 3.53, 1 La 3.57
15 Y 0.7473 0.7473 0.7516  10 Y 3.53-3.60, 1 Sc 3.53, 1 La 3.57
16 Sc 0.5000 0.5000 0.0000  12 Y 3.53-3.57

Calculated values
As for the calculated density: 4.64 Mg/m³. The formation energy from the elements comes out at 0.031 eV per atom. For the total energy, the calculation gives -6.3283 eV per atom.



[12]
Density functional theory data (PBE-GGA) for a relaxed structure of YTaH3.

Cell: 3.8459 3.8459 3.8459 Å, 90.00 90.00 90.00°
Closest atoms and distances in Å follow each position.
Atoms (fractional coordinates):
1 Y 0.0000 0.0000 0.0000  6 H 1.92
2 Ta 0.5000 0.5000 0.5000  12 H 2.72
3 H 0.0000 0.0000 0.5000  2 Y 1.92
4 H 0.0000 0.5000 0.0000  2 Y 1.92
5 H 0.5000 0.0000 0.0000  2 Y 1.92

Calculated values
As for the calculated density: 7.97 Mg/m³. The calculation puts the energy relative to the lowest polymorph listed for this composition at 68.3 kJ/mol of atoms. For the total energy, the calculation gives -5.1751 eV per atom.